Record 1
## SrCaSnPb2 (GGA-PBEsol)

Data for a geometry-optimized SrCaSnPb2 structure. Values from VASP.

Calculated values
SG: No. 123
M_tot: 0.0 μB/cell
ρ: 5464 kg/m3
E_form: 0.445 eV/atom

Structure (Quantum ESPRESSO input):
```
&SYSTEM
  ibrav = 0, nat = 5, ntyp = 4
/
ATOMIC_SPECIES
Sr 87.62 Sr.upf
Ca 40.08 Ca.upf
Sn 118.71 Sn.upf
Pb 207.20 Pb.upf
CELL_PARAMETERS angstrom
5.8657 0.0000 0.0000
0.0000 5.8657 0.0000
0.0000 0.0000 5.8365
ATOMIC_POSITIONS crystal
Sr 0.0000 0.0000 0.0000
Ca 0.5000 0.5000 0.5000
Sn 0.0000 0.0000 0.5000
Pb 0.0000 0.5000 0.0000
Pb 0.5000 0.0000 0.0000
```

Record 2
## BeHCl3 (GGA-PBEsol)

Data for a geometry-optimized BeHCl3 structure. Values from VASP.

Calculated values
electronic total energy: -13.292 eV/f.u.
SG: No. 221
M_tot: 0.8 μB/cell
ρ: 2221 kg/m3

Structure (Quantum ESPRESSO input):
```
&SYSTEM
  ibrav = 0, nat = 5, ntyp = 3
/
ATOMIC_SPECIES
Be 9.01 Be.upf
H 1.01 H.upf
Cl 35.45 Cl.upf
CELL_PARAMETERS angstrom
4.4313 0.0000 0.0000
0.0000 4.4313 0.0000
0.0000 0.0000 4.4313
ATOMIC_POSITIONS crystal
Be 0.0000 0.0000 0.0000
H 0.5000 0.5000 0.5000
Cl 0.0000 0.0000 0.5000
Cl 0.0000 0.5000 0.0000
Cl 0.5000 0.0000 0.0000
```

Record 3
## Ru5Pt3 (GGA-PBEsol)

Data for a geometry-optimized Ru5Pt3 structure. Values from VASP.

Calculated values
SG: No. 65
M_tot: 0.0 μB/cell
ρ: 16313 kg/m3
E_form: 0.050 eV/atom

Structure (Quantum ESPRESSO input):
```
&SYSTEM
  ibrav = 0, nat = 16, ntyp = 2
/
ATOMIC_SPECIES
Ru 101.07 Ru.upf
Pt 195.08 Pt.upf
CELL_PARAMETERS angstrom
7.6169 0.0000 0.0000
0.0000 7.6754 0.0000
0.0000 0.0000 3.7979
ATOMIC_POSITIONS crystal
Ru 0.0000 0.0000 0.0000
Ru 0.0000 0.2467 0.5000
Ru 0.0000 0.7533 0.5000
Ru 0.2500 0.2500 0.0000
Ru 0.2500 0.7500 0.0000
Ru 0.5000 0.2533 0.5000
Ru 0.5000 0.5000 0.0000
Ru 0.5000 0.7467 0.5000
Ru 0.7500 0.2500 0.0000
Ru 0.7500 0.7500 0.0000
Pt 0.0000 0.5000 0.0000
Pt 0.2448 0.0000 0.5000
Pt 0.2552 0.5000 0.5000
Pt 0.5000 0.0000 0.0000
Pt 0.7448 0.5000 0.5000
Pt 0.7552 0.0000 0.5000
```

Record 4
## Li2AlHg (GGA-PBEsol)

Data for a geometry-optimized Li2AlHg structure. Values from VASP.

Calculated values
SG: No. 71
M_tot: 0.0 μB/cell
ρ: 6010 kg/m3
E_form: -0.247 eV/atom

Structure (Quantum ESPRESSO input):
```
&SYSTEM
  ibrav = 0, nat = 8, ntyp = 3
/
ATOMIC_SPECIES
Li 6.94 Li.upf
Al 26.98 Al.upf
Hg 200.59 Hg.upf
CELL_PARAMETERS angstrom
3.8134 0.0000 0.0000
0.0000 4.1011 0.0000
0.0000 0.0000 8.5311
ATOMIC_POSITIONS crystal
Li 0.0000 0.0000 0.2487
Li 0.0000 0.0000 0.7513
Li 0.5000 0.5000 0.2513
Li 0.5000 0.5000 0.7487
Al 0.0000 0.5000 0.0000
Al 0.5000 0.0000 0.5000
Hg 0.0000 0.5000 0.5000
Hg 0.5000 0.0000 0.0000
```

Record 5
## La2TlAs (GGA-PBEsol)

Data for a geometry-optimized La2TlAs structure. Values from VASP.

Calculated values
SG: No. 166
M_tot: 0.0 μB/cell
ρ: 7470 kg/m3
E_form: -0.921 eV/atom

Structure (Quantum ESPRESSO input):
```
&SYSTEM
  ibrav = 0, nat = 12, ntyp = 3
/
ATOMIC_SPECIES
La 138.91 La.upf
Tl 204.38 Tl.upf
As 74.92 As.upf
CELL_PARAMETERS angstrom
4.2036 0.0000 0.0000
-2.1018 3.6404 0.0000
0.0000 0.0000 24.2776
ATOMIC_POSITIONS crystal
La 0.0000 0.0000 0.2386
La 0.0000 0.0000 0.7614
La 0.3333 0.6667 0.4281
La 0.3333 0.6667 0.9053
La 0.6667 0.3333 0.0947
La 0.6667 0.3333 0.5719
Tl 0.0000 0.0000 0.0000
Tl 0.3333 0.6667 0.6667
Tl 0.6667 0.3333 0.3333
As 0.0000 0.0000 0.5000
As 0.3333 0.6667 0.1667
As 0.6667 0.3333 0.8333
```

Record 6
## GaReB2S (GGA-PBEsol)

Data for a geometry-optimized GaReB2S structure. Values from VASP.

Calculated values
ΔE_f (raw): 1.977 eV/atom
SG: No. 123
M_tot: 1.9 μB/cell
ρ: 7208 kg/m3

Structure (Quantum ESPRESSO input):
```
&SYSTEM
  ibrav = 0, nat = 5, ntyp = 4
/
ATOMIC_SPECIES
Ga 69.72 Ga.upf
Re 186.21 Re.upf
B 10.81 B.upf
S 32.06 S.upf
CELL_PARAMETERS angstrom
3.8205 0.0000 0.0000
0.0000 3.8205 0.0000
0.0000 0.0000 4.8867
ATOMIC_POSITIONS crystal
Ga 0.0000 0.0000 0.0000
Re 0.5000 0.5000 0.5000
B 0.0000 0.5000 0.0000
B 0.5000 0.0000 0.0000
S 0.0000 0.0000 0.5000
```

Record 7
## YCdHg (GGA-PBEsol)

Data for a geometry-optimized YCdHg structure. Values from VASP.

Calculated values
SG: No. 216
M_tot: 0.0 μB/cell
ρ: 8562 kg/m3
E_form: -0.319 eV/atom

Structure (Quantum ESPRESSO input):
```
&SYSTEM
  ibrav = 0, nat = 12, ntyp = 3
/
ATOMIC_SPECIES
Y 88.91 Y.upf
Cd 112.41 Cd.upf
Hg 200.59 Hg.upf
CELL_PARAMETERS angstrom
6.7809 0.0000 0.0000
0.0000 6.7809 0.0000
0.0000 0.0000 6.7809
ATOMIC_POSITIONS crystal
Y 0.0000 0.0000 0.0000
Y 0.0000 0.5000 0.5000
Y 0.5000 0.0000 0.5000
Y 0.5000 0.5000 0.0000
Cd 0.0000 0.0000 0.5000
Cd 0.0000 0.5000 0.0000
Cd 0.5000 0.0000 0.0000
Cd 0.5000 0.5000 0.5000
Hg 0.2500 0.2500 0.7500
Hg 0.2500 0.7500 0.2500
Hg 0.7500 0.2500 0.2500
Hg 0.7500 0.7500 0.7500
```

Record 8
## KZr2Te (GGA-PBEsol)

Data for a geometry-optimized KZr2Te structure. Values from VASP.

Calculated values
ΔE_f (raw): 0.055 eV/atom
SG: No. 8
M_tot: 0.0 μB/cell
ρ: 4728 kg/m3

Structure (Quantum ESPRESSO input):
```
&SYSTEM
  ibrav = 0, nat = 8, ntyp = 3
/
ATOMIC_SPECIES
K 39.10 K.upf
Zr 91.22 Zr.upf
Te 127.60 Te.upf
CELL_PARAMETERS angstrom
9.6006 0.0000 0.0000
0.0000 3.4678 0.0000
-0.9495 0.0000 7.3658
ATOMIC_POSITIONS crystal
K 0.0000 0.0000 0.0000
K 0.5000 0.5000 0.0000
Zr 0.0249 0.5000 0.4849
Zr 0.2845 0.5000 0.3836
Zr 0.5249 0.0000 0.4849
Zr 0.7845 0.0000 0.3836
Te 0.2512 0.0000 0.6898
Te 0.7512 0.5000 0.6898
```

Record 9
## HfI3Br (GGA-PBEsol)

Data for a geometry-optimized HfI3Br structure. Values from VASP.

Calculated values
ΔE_f (raw): -0.439 eV/atom
SG: No. 221
M_tot: 0.0 μB/cell
ρ: 6255 kg/m3

Structure (Quantum ESPRESSO input):
```
&SYSTEM
  ibrav = 0, nat = 5, ntyp = 3
/
ATOMIC_SPECIES
Hf 178.49 Hf.upf
I 126.90 I.upf
Br 79.90 Br.upf
CELL_PARAMETERS angstrom
5.5361 0.0000 0.0000
0.0000 5.5361 0.0000
0.0000 0.0000 5.5361
ATOMIC_POSITIONS crystal
Hf 0.0000 0.0000 0.0000
I 0.0000 0.0000 0.5000
I 0.0000 0.5000 0.0000
I 0.5000 0.0000 0.0000
Br 0.5000 0.5000 0.5000
```

Record 10
## Cu2TcBr (GGA-PBEsol)

Data for a geometry-optimized Cu2TcBr structure. Values from VASP.

Calculated values
ΔE_f (raw): 0.703 eV/atom
SG: No. 35
M_tot: 0.0 μB/cell
ρ: 8577 kg/m3

Structure (Quantum ESPRESSO input):
```
&SYSTEM
  ibrav = 0, nat = 8, ntyp = 3
/
ATOMIC_SPECIES
Cu 63.55 Cu.upf
Tc 98.00 Tc.upf
Br 79.90 Br.upf
CELL_PARAMETERS angstrom
2.8780 0.0000 0.0000
0.0000 4.7874 0.0000
0.0000 0.0000 8.5711
ATOMIC_POSITIONS crystal
Cu 0.0000 0.0000 0.0000
Cu 0.0000 0.5000 0.2236
Cu 0.5000 0.0000 0.2236
Cu 0.5000 0.5000 0.0000
Tc 0.0000 0.0000 0.4669
Tc 0.5000 0.5000 0.4669
Br 0.0000 0.5000 0.7235
Br 0.5000 0.0000 0.7235
```

Record 11
## RbTiAsSe2 (GGA-PBEsol)

Data for a geometry-optimized RbTiAsSe2 structure. Values from VASP.

Calculated values
ΔE_f (raw): 1.453 eV/atom
SG: No. 123
M_tot: 1.4 μB/cell
ρ: 3878 kg/m3

Structure (Quantum ESPRESSO input):
```
&SYSTEM
  ibrav = 0, nat = 5, ntyp = 4
/
ATOMIC_SPECIES
Rb 85.47 Rb.upf
Ti 47.87 Ti.upf
As 74.92 As.upf
Se 78.96 Se.upf
CELL_PARAMETERS angstrom
5.4712 0.0000 0.0000
0.0000 5.4712 0.0000
0.0000 0.0000 5.2381
ATOMIC_POSITIONS crystal
Rb 0.0000 0.0000 0.0000
Ti 0.5000 0.5000 0.5000
As 0.0000 0.0000 0.5000
Se 0.0000 0.5000 0.0000
Se 0.5000 0.0000 0.0000
```